Entry 1:
{"formula": "La4Sm7Tm", "functional": "PBE", "state": "optimized geometry", "lattice_angstrom": [[1.827, -3.165, 0.000], [1.827, 3.165, 0.000], [0.000, 0.000, 35.868]], "species": ["La", "La", "La", "La", "Sm", "Sm", "Sm", "Sm", "Sm", "Sm", "Sm", "Tm"], "frac_coords": [[0.333, 0.667, 0.665], [0.667, 0.333, 0.084], [0.667, 0.333, 0.335], [0.333, 0.667, 0.916], [0.333, 0.667, 0.169], [0.667, 0.333, 0.580], [0.667, 0.333, 0.831], [0.000, 0.000, 0.000], [0.333, 0.667, 0.420], [0.000, 0.000, 0.250], [0.000, 0.000, 0.750], [0.000, 0.000, 0.500]], "space_group": "P-3m1", "e_above_lowest_polymorph_mev_per_atom": 0, "e_form_ev_per_atom": 0.020}


Entry 2:
{"formula": "Nb3VSe", "functional": "PBE", "state": "optimized geometry", "lattice_angstrom": [[-3.181, 3.441, -0.206], [-3.046, -2.676, 2.358], [1.612, 1.733, 4.050]], "species": ["Se", "Nb", "Nb", "Nb", "V"], "frac_coords": [[0.500, 0.500, 0.500], [0.000, 0.500, 0.000], [0.500, 0.000, 0.000], [0.000, 0.000, 0.500], [0.000, 0.000, 0.000]], "space_group": "Pm-3m", "e_form_raw_kj_per_mol_atoms": 90.53, "e_above_lowest_polymorph_mev_per_atom": 114}


Entry 3:
{"formula": "ScAsAuS2", "functional": "PBE", "state": "optimized geometry", "lattice_angstrom": [[-1.891, -4.379, -0.283], [1.537, -0.990, 5.059], [-4.170, 1.697, 1.599]], "species": ["S", "S", "Au", "Sc", "As"], "frac_coords": [[0.000, 0.000, 0.500], [0.500, 0.000, 0.000], [0.000, 0.500, 0.000], [0.000, 0.000, 0.000], [0.500, 0.500, 0.500]], "space_group": "P4/mmm", "e_form_raw_kj_per_mol_atoms": 10.61}


Entry 4:
{"formula": "TbHoIrPd", "functional": "PBE", "state": "optimized geometry", "lattice_angstrom": [[4.897, 0.000, 0.000], [2.449, 4.241, 0.000], [2.449, 1.414, 3.998]], "species": ["Ir", "Tb", "Pd", "Ho"], "frac_coords": [[0.000, 0.000, 0.000], [0.750, 0.750, 0.750], [0.500, 0.500, 0.500], [0.250, 0.250, 0.250]], "space_group": "F-43m", "e_form_ev_per_atom": -0.902}


Entry 5:
{"formula": "BaHgPdF6", "functional": "PBE", "state": "optimized geometry", "lattice_angstrom": [[-3.633, 4.029, 2.126], [-4.814, -0.809, 1.037], [0.009, 0.126, 7.252]], "species": ["Pd", "F", "F", "F", "F", "F", "F", "Ba", "Hg"], "frac_coords": [[0.311, 0.389, 0.499], [0.271, 0.194, 0.766], [0.621, 0.442, 0.816], [0.028, 0.819, 0.633], [0.608, 0.960, 0.364], [0.351, 0.585, 0.233], [0.986, 0.337, 0.188], [0.019, 0.881, 0.999], [0.805, 0.394, 0.502]], "space_group": "P1", "e_form_raw_kj_per_mol_atoms": -209.04}


Entry 6:
{"formula": "Ti2SiTcH", "functional": "PBE", "state": "optimized geometry", "lattice_angstrom": [[-2.005, -0.698, -3.382], [-0.279, -3.866, 0.963], [-3.301, 0.690, 1.815]], "species": ["Ti", "Ti", "Si", "Tc", "H"], "frac_coords": [[0.000, 0.500, 0.000], [0.500, 0.000, 0.000], [0.500, 0.500, 0.500], [0.000, 0.000, 0.500], [0.000, 0.000, 0.000]], "space_group": "P4/mmm", "dft_energy_ev_per_cell": -37.37}


Entry 7:
{"formula": "VFeCu3", "functional": "PBE", "state": "optimized geometry", "lattice_angstrom": [[-1.034, -4.252, 0.270], [3.939, -0.848, 1.727], [-1.622, 0.650, 4.020]], "species": ["V", "Cu", "Cu", "Cu", "Fe"], "frac_coords": [[0.500, 0.500, 0.500], [0.000, 0.000, 0.500], [0.000, 0.500, 0.000], [0.500, 0.000, 0.000], [0.000, 0.000, 0.000]], "space_group": "Pm-3m", "e_above_lowest_polymorph_mev_per_atom": 0, "e_form_ev_per_atom": 1.142}


Entry 8:
{"formula": "Pr7Tm2Mg2", "functional": "PBE", "state": "optimized geometry", "lattice_angstrom": [[-1.215, -7.831, 0.949], [1.790, 0.606, -5.894], [7.776, -1.795, 0.054]], "species": ["Mg", "Mg", "Pr", "Pr", "Pr", "Pr", "Pr", "Pr", "Pr", "Tm", "Tm"], "frac_coords": [[0.780, 0.500, 0.780], [0.220, 0.500, 0.220], [0.000, 0.000, 0.000], [0.940, 0.193, 0.578], [0.422, 0.193, 0.060], [0.578, 0.796, 0.422], [0.422, 0.204, 0.578], [0.060, 0.807, 0.422], [0.578, 0.807, 0.940], [0.791, 0.413, 0.209], [0.209, 0.587, 0.791]], "space_group": "C2/m", "e_above_lowest_polymorph_mev_per_atom": 52, "e_form_ev_per_atom": 0.109}


Entry 9:
{"formula": "TcWI3", "functional": "PBE", "state": "optimized geometry", "lattice_angstrom": [[-2.509, 4.227, -2.643], [-4.178, -3.397, -1.467], [-2.720, 1.319, 4.692]], "species": ["W", "Tc", "I", "I", "I"], "frac_coords": [[0.000, 0.000, 0.000], [0.500, 0.500, 0.500], [0.500, 0.000, 0.000], [0.000, 0.500, 0.000], [0.000, 0.000, 0.500]], "space_group": "Pm-3m", "e_form_raw_kj_per_mol_atoms": 145.55, "e_above_lowest_polymorph_mev_per_atom": 0}


Entry 10:
{"formula": "RbCd4Pb8", "functional": "PBE", "state": "optimized geometry", "lattice_angstrom": [[6.108, 0.000, 0.000], [3.054, 8.115, 0.000], [3.054, 0.000, 8.115]], "species": ["Pb", "Pb", "Pb", "Pb", "Pb", "Pb", "Pb", "Pb", "Cd", "Cd", "Cd", "Cd", "Rb"], "frac_coords": [[0.000, 0.354, 0.646], [0.280, 0.220, 0.220], [0.646, 0.354, 0.354], [0.000, 0.646, 0.354], [0.500, 0.220, 0.780], [0.720, 0.780, 0.780], [0.354, 0.646, 0.646], [0.500, 0.780, 0.220], [0.500, 0.500, 0.000], [0.500, 0.000, 0.500], [0.000, 0.000, 0.500], [0.000, 0.500, 0.000], [0.000, 0.000, 0.000]], "space_group": "I4/mmm", "e_form_ev_per_atom": -0.016}


Entry 11:
{"formula": "CdHgS2", "functional": "PBE", "state": "optimized geometry", "lattice_angstrom": [[7.307, 0.000, 0.000], [0.000, 8.431, 0.000], [0.000, 0.000, 6.881]], "species": ["S", "S", "S", "S", "S", "S", "S", "S", "Cd", "Cd", "Cd", "Cd", "Hg", "Hg", "Hg", "Hg"], "frac_coords": [[0.419, 0.877, 0.127], [0.919, 0.623, 0.127], [0.916, 0.127, 0.122], [0.584, 0.627, 0.622], [0.084, 0.873, 0.622], [0.081, 0.377, 0.627], [0.416, 0.373, 0.122], [0.581, 0.123, 0.627], [0.084, 0.375, 0.001], [0.584, 0.125, 0.001], [0.916, 0.625, 0.501], [0.416, 0.875, 0.501], [0.415, 0.375, 0.500], [0.585, 0.625, 0.000], [0.085, 0.875, 0.000], [0.915, 0.125, 0.500]], "space_group": "Pna2_1", "e_form_raw_kj_per_mol_atoms": -36.84, "e_above_lowest_polymorph_mev_per_atom": 1}


Entry 12:
{"formula": "TaReOs", "functional": "PBE", "state": "optimized geometry", "lattice_angstrom": [[6.367, -0.001, 0.001], [5.744, 2.746, 0.013], [0.623, 0.129, 2.744]], "species": ["Os", "Ta", "Re"], "frac_coords": [[0.990, 0.990, 0.010], [0.665, 0.665, 0.335], [0.346, 0.346, 0.654]], "space_group": "I4mm", "e_above_lowest_polymorph_mev_per_atom": 0, "e_form_ev_per_atom": -0.088}


Entry 13:
{"formula": "MgFeCo2B", "functional": "PBE", "state": "optimized geometry", "lattice_angstrom": [[3.859, 0.000, 0.000], [0.000, 3.859, 0.000], [0.000, 0.000, 3.861]], "species": ["Co", "Co", "Fe", "B", "Mg"], "frac_coords": [[0.500, 0.000, 0.000], [0.000, 0.500, 0.000], [0.000, 0.000, 0.500], [0.000, 0.000, 0.000], [0.500, 0.500, 0.500]], "space_group": "P4/mmm", "e_form_ev_per_atom": -0.046}


Entry 14:
{"formula": "Y5ZnGa2", "functional": "PBE", "state": "optimized geometry", "lattice_angstrom": [[6.833, 0.000, -3.225], [-1.523, 6.661, -3.225], [0.106, 0.133, 9.075]], "species": ["Y", "Y", "Y", "Y", "Y", "Y", "Y", "Y", "Y", "Y", "Ga", "Ga", "Ga", "Ga", "Zn", "Zn"], "frac_coords": [[0.318, 0.818, 0.293], [0.025, 0.525, 0.707], [0.818, 0.975, 0.293], [0.475, 0.318, 0.293], [0.525, 0.682, 0.707], [0.000, 0.000, 0.000], [0.500, 0.500, 0.000], [0.182, 0.025, 0.707], [0.682, 0.182, 0.707], [0.975, 0.475, 0.293], [0.121, 0.379, 0.000], [0.379, 0.879, 0.000], [0.621, 0.121, 0.000], [0.879, 0.621, 0.000], [0.750, 0.750, 0.500], [0.250, 0.250, 0.500]], "space_group": "I4/mcm", "e_form_ev_per_atom": -0.421}


Entry 15:
{"formula": "VInGa", "functional": "PBE", "state": "optimized geometry", "lattice_angstrom": [[5.650, 0.000, 0.000], [-2.825, 4.763, 0.000], [0.000, 0.000, 7.847]], "species": ["In", "In", "In", "In", "Ga", "Ga", "Ga", "Ga", "V", "V", "V", "V"], "frac_coords": [[0.133, 0.766, 0.750], [0.867, 0.234, 0.250], [0.367, 0.234, 0.250], [0.633, 0.766, 0.750], [0.639, 0.278, 0.910], [0.139, 0.278, 0.590], [0.861, 0.722, 0.410], [0.361, 0.722, 0.090], [0.387, 0.775, 0.425], [0.887, 0.775, 0.075], [0.613, 0.225, 0.575], [0.113, 0.225, 0.925]], "space_group": "Cmce", "e_above_lowest_polymorph_mev_per_atom": 0, "e_form_ev_per_atom": 0.202}


Entry 16:
{"formula": "IrRuRh2", "functional": "PBE", "state": "optimized geometry", "lattice_angstrom": [[-0.934, -0.384, 2.523], [2.509, -0.627, 0.833], [1.314, 7.403, 1.613]], "species": ["Ru", "Rh", "Rh", "Ir"], "frac_coords": [[0.000, 0.000, 0.501], [0.000, 0.000, 0.999], [0.500, 0.500, 0.254], [0.500, 0.500, 0.746]], "space_group": "P4mm", "e_above_lowest_polymorph_mev_per_atom": 1, "e_form_ev_per_atom": -0.009}


Entry 17:
{"formula": "ZrReRu2", "functional": "PBE", "state": "optimized geometry", "lattice_angstrom": [[4.708, -0.026, 0.000], [1.041, 4.591, 0.000], [-2.875, -2.283, 2.948]], "species": ["Ru", "Ru", "Zr", "Re"], "frac_coords": [[0.500, 0.500, 0.000], [0.000, 0.000, 0.000], [0.250, 0.750, 0.500], [0.750, 0.250, 0.500]], "space_group": "I4/mmm", "e_above_lowest_polymorph_mev_per_atom": 63, "e_form_ev_per_atom": -0.017}


Entry 18:
{"formula": "Ac2GaSb4Pd3", "functional": "PBE", "state": "optimized geometry", "lattice_angstrom": [[-3.651, -1.756, -2.695], [3.209, -2.261, -2.874], [-0.462, -8.460, 6.140]], "species": ["Sb", "Sb", "Sb", "Sb", "Ac", "Ac", "Pd", "Pd", "Pd", "Ga"], "frac_coords": [[0.000, 0.000, 0.000], [0.000, 0.500, 0.370], [0.500, 0.500, 0.000], [0.500, 0.000, 0.630], [0.500, 0.000, 0.253], [0.000, 0.500, 0.747], [0.500, 0.000, 0.882], [0.000, 0.000, 0.500], [0.000, 0.500, 0.118], [0.500, 0.500, 0.500]], "space_group": "P-4m2", "e_form_raw_kj_per_mol_atoms": -73.47}


Entry 19:
{"formula": "KNi3Os", "functional": "PBE", "state": "optimized geometry", "lattice_angstrom": [[4.646, 0.000, 0.000], [0.000, 4.646, 0.000], [0.000, 0.000, 4.646]], "species": ["Ni", "Ni", "Ni", "K", "Os"], "frac_coords": [[0.000, 0.500, 0.000], [0.500, 0.000, 0.000], [0.000, 0.000, 0.500], [0.500, 0.500, 0.500], [0.000, 0.000, 0.000]], "space_group": "Pm-3m", "e_above_lowest_polymorph_mev_per_atom": 0, "e_form_ev_per_atom": 1.041}


Entry 20:
{"formula": "FeTc2W", "functional": "PBE", "state": "optimized geometry", "lattice_angstrom": [[4.336, 0.000, 0.000], [2.168, 3.755, 0.000], [2.168, 1.252, 3.540]], "species": ["W", "Tc", "Tc", "Fe"], "frac_coords": [[0.750, 0.750, 0.750], [0.000, 0.000, 0.000], [0.250, 0.250, 0.250], [0.500, 0.500, 0.500]], "space_group": "F-43m", "e_form_ev_per_atom": 0.186}


Entry 21:
{"formula": "FeCo2Mo", "functional": "PBE", "state": "optimized geometry", "lattice_angstrom": [[-1.798, -0.342, 3.122], [-1.643, -2.963, -1.271], [2.656, -2.032, 1.307]], "species": ["Co", "Co", "Mo", "Fe"], "frac_coords": [[0.000, 0.000, 0.000], [0.500, 0.500, 0.000], [0.000, 0.500, 0.500], [0.500, 0.000, 0.500]], "space_group": "P4/mmm", "e_above_lowest_polymorph_mev_per_atom": 0, "e_form_ev_per_atom": 0.016}


Entry 22:
{"formula": "Rb2SiOsO6", "functional": "PBE", "state": "optimized geometry", "lattice_angstrom": [[-1.866, -3.499, -3.394], [-2.569, -2.383, 3.869], [-6.445, 0.173, -0.651]], "species": ["O", "O", "O", "O", "O", "O", "Os", "Si", "Rb", "Rb"], "frac_coords": [[0.271, 0.729, 0.000], [0.729, 0.271, 0.000], [0.729, 0.729, 0.000], [0.174, 0.174, 0.652], [0.826, 0.826, 0.348], [0.271, 0.271, 0.000], [0.000, 0.000, 0.000], [0.500, 0.500, 0.000], [0.750, 0.250, 0.500], [0.250, 0.750, 0.500]], "space_group": "I4/mmm", "e_form_raw_kj_per_mol_atoms": -136.59}


Entry 23:
{"formula": "HfSiMo", "functional": "PBE", "state": "optimized geometry", "lattice_angstrom": [[-0.949, 2.869, -1.755], [-0.121, -3.661, -5.920], [-7.889, -1.822, 1.288]], "species": ["Si", "Si", "Si", "Si", "Mo", "Mo", "Mo", "Mo", "Hf", "Hf", "Hf", "Hf"], "frac_coords": [[0.750, 0.243, 0.137], [0.250, 0.757, 0.863], [0.750, 0.743, 0.363], [0.250, 0.257, 0.637], [0.250, 0.134, 0.937], [0.750, 0.366, 0.437], [0.250, 0.634, 0.563], [0.750, 0.866, 0.063], [0.250, 0.544, 0.167], [0.750, 0.956, 0.667], [0.250, 0.044, 0.333], [0.750, 0.456, 0.833]], "space_group": "Pnma", "e_form_raw_kj_per_mol_atoms": -68.95, "e_above_lowest_polymorph_mev_per_atom": 0}


Entry 24:
{"formula": "VCdRu3", "functional": "PBE", "state": "optimized geometry", "lattice_angstrom": [[-0.172, -1.472, -4.230], [-0.601, -4.187, 1.482], [-4.438, 0.624, -0.037]], "species": ["Cd", "V", "Ru", "Ru", "Ru"], "frac_coords": [[0.500, 0.500, 0.500], [0.000, 0.000, 0.000], [0.500, 0.000, 0.000], [0.000, 0.000, 0.500], [0.000, 0.500, 0.000]], "space_group": "Pm-3m", "e_above_lowest_polymorph_mev_per_atom": 0, "e_form_ev_per_atom": 0.963}


Entry 25:
{"formula": "LaPtRh2", "functional": "PBE", "state": "optimized geometry", "lattice_angstrom": [[-2.720, 1.244, -2.955], [1.333, -3.085, -2.526], [-7.228, -6.683, 0.849]], "species": ["Pt", "Pt", "Rh", "Rh", "Rh", "Rh", "La", "La"], "frac_coords": [[0.750, 0.250, 0.500], [0.000, 0.000, 0.000], [0.875, 0.954, 0.750], [0.375, 0.296, 0.750], [0.704, 0.125, 0.250], [0.046, 0.625, 0.250], [0.500, 0.500, 0.000], [0.250, 0.750, 0.500]], "space_group": "I-42d", "e_form_ev_per_atom": -0.320}